(one)
A plane-wave DFT calculation with GGA-PBE was carried out for crystalline Rb2MoC2 at its relaxed geometry.

POSCAR file:
```
Rb2MoC2
1.0
-4.929 -1.644 -3.112
1.949 -5.734 -0.058
-2.794 -1.000 4.953
C Rb Mo
4 4 2
direct
0.264 0.764 0.000
0.736 0.236 0.000
0.236 0.264 0.000
0.764 0.736 0.000
0.175 0.675 0.500
0.825 0.325 0.500
0.325 0.175 0.500
0.675 0.825 0.500
0.500 0.500 0.000
0.000 0.000 0.000
```

Results
Its symmetry is No. 127.

***

(two)
A plane-wave DFT calculation with GGA-PBE was carried out for crystalline Rb2MoC2 at its relaxed geometry.

POSCAR file:
```
Rb2MoC2
1.0
-3.187 3.849 2.948
-4.255 -0.529 -3.909
-5.473 -1.588 1.866
C Rb Mo
2 2 1
direct
0.573 0.573 0.854
0.427 0.427 0.146
0.250 0.750 0.500
0.750 0.250 0.500
0.000 0.000 0.000
```

Results
Its symmetry is No. 139.

***

Most stable = (one)

***

(one)
A plane-wave DFT calculation with GGA-PBE was carried out for crystalline RbMoC3 at its relaxed geometry.

POSCAR file:
```
RbMoC3
1.0
-2.213 -2.452 2.649
-1.680 -2.051 -3.302
3.195 -2.776 0.099
Mo Rb C
1 1 3
direct
0.000 0.000 0.000
0.500 0.500 0.500
0.000 0.000 0.500
0.000 0.500 0.000
0.500 0.000 0.000
```

Results
Its symmetry is No. 221.

***

(two)
A plane-wave DFT calculation with GGA-PBE was carried out for crystalline RbMoC3 at its relaxed geometry.

POSCAR file:
```
RbMoC3
1.0
-0.869 -3.654 1.740
0.252 -1.825 -3.706
4.039 -0.672 0.606
C Rb Mo
3 1 1
direct
0.500 0.000 0.000
0.000 0.000 0.500
0.000 0.500 0.000
0.000 0.000 0.000
0.500 0.500 0.500
```

Results
Its symmetry is No. 221.

***

Most stable = (one)

***

(one)
A plane-wave DFT calculation with GGA-PBE was carried out for crystalline RbMo3C at its relaxed geometry.

POSCAR file:
```
RbMo3C
1.0
-3.822 -2.115 -0.162
1.219 -2.464 3.399
-1.735 2.927 2.744
Mo Rb C
3 1 1
direct
0.000 0.500 0.000
0.000 0.000 0.500
0.500 0.000 0.000
0.500 0.500 0.500
0.000 0.000 0.000
```

Results
Its symmetry is No. 221.

***

(two)
A plane-wave DFT calculation with GGA-PBE was carried out for crystalline RbMo3C at its relaxed geometry.

POSCAR file:
```
RbMo3C
1.0
4.661 0.000 0.000
0.000 4.661 0.000
0.000 0.000 4.661
Rb Mo C
1 3 1
direct
0.000 0.000 0.000
0.000 0.500 0.000
0.000 0.000 0.500
0.500 0.000 0.000
0.500 0.500 0.500
```

Results
Its symmetry is No. 221.

***

Most stable = (one)

***

(one)
A plane-wave DFT calculation with GGA-PBE was carried out for crystalline RbMoC2 at its relaxed geometry.

POSCAR file:
```
RbMoC2
1.0
0.000 3.075 3.075
3.075 0.000 3.075
3.075 3.075 0.000
Mo C Rb
1 2 1
direct
0.500 0.500 0.500
0.250 0.250 0.250
0.750 0.750 0.750
0.000 0.000 0.000
```

Results
Its symmetry is No. 225.

***

(two)
A plane-wave DFT calculation with GGA-PBE was carried out for crystalline RbMoC2 at its relaxed geometry.

POSCAR file:
```
RbMoC2
1.0
6.351 0.000 0.000
0.000 6.351 0.000
3.176 3.176 4.479
C Mo Rb
4 2 2
direct
0.375 0.128 0.750
0.878 0.625 0.250
0.875 0.122 0.750
0.872 0.125 0.250
0.000 0.000 0.000
0.750 0.250 0.500
0.500 0.500 0.000
0.250 0.750 0.500
```

Results
Its symmetry is No. 122.

***

Most stable = (two)

***

(one)
A plane-wave DFT calculation with GGA-PBE was carried out for crystalline Re3MoC at its relaxed geometry.

POSCAR file:
```
Re3MoC
1.0
4.698 0.000 0.000
0.000 4.698 0.000
0.000 0.000 4.698
Mo C Re
1 1 3
direct
0.000 0.000 0.000
0.500 0.500 0.500
0.000 0.500 0.000
0.500 0.000 0.000
0.000 0.000 0.500
```

Results
Its symmetry is No. 221.

***

(two)
A plane-wave DFT calculation with GGA-PBE was carried out for crystalline Re3MoC at its relaxed geometry.

POSCAR file:
```
Re3MoC
1.0
4.088 0.000 0.000
0.000 4.088 0.000
0.000 0.000 4.088
C Mo Re
1 1 3
direct
0.000 0.000 0.000
0.500 0.500 0.500
0.000 0.000 0.500
0.500 0.000 0.000
0.000 0.500 0.000
```

Results
Its symmetry is No. 221.

***

Most stable = (two)

***

(one)
A plane-wave DFT calculation with GGA-PBE was carried out for crystalline Mo3RhC at its relaxed geometry.

POSCAR file:
```
Mo3RhC
1.0
5.342 0.000 0.000
0.000 5.356 0.000
-2.671 0.000 4.823
Mo C Rh
6 2 2
direct
0.954 0.948 0.400
0.447 0.948 0.400
0.046 0.448 0.600
0.456 0.093 0.911
0.544 0.593 0.089
0.553 0.448 0.600
0.335 0.749 0.671
0.665 0.249 0.329
0.957 0.816 0.914
0.043 0.316 0.086
```

Results
Its symmetry is No. 36.

***

(two)
A plane-wave DFT calculation with GGA-PBE was carried out for crystalline Mo3RhC at its relaxed geometry.

POSCAR file:
```
Mo3RhC
1.0
4.681 0.000 0.000
0.000 4.681 0.000
0.000 0.000 4.681
Rh Mo C
1 3 1
direct
0.000 0.000 0.000
0.000 0.000 0.500
0.500 0.000 0.000
0.000 0.500 0.000
0.500 0.500 0.500
```

Results
Its symmetry is No. 221.

***

Most stable = (one)